[1]
KInMo6Se6 | GGA-PBEsol | relaxed

As for the space group: P-6 (174). As for the raw formation energy: -0.5794 eV/atom.

POSCAR file:
```
KInMo6Se6
1.0
-1.685 0.885 -4.039
-4.018 -7.920 -0.060
-4.205 7.088 3.308
Se Mo In K
6 6 1 1
Direct
0.500 0.598 0.633 Se
0.500 0.367 0.966 Se
0.500 0.034 0.402 Se
0.000 0.728 0.030 Se
0.000 0.970 0.698 Se
0.000 0.302 0.272 Se
0.000 0.635 0.487 Mo
0.000 0.513 0.148 Mo
0.000 0.852 0.365 Mo
0.500 0.481 0.301 Mo
0.500 0.699 0.180 Mo
0.500 0.820 0.519 Mo
0.000 0.333 0.667 In
0.500 0.000 0.000 K
```

=====

[2]
LaMoN3 | GGA-PBEsol | relaxed

As for the space group: C2/c (15). As for the raw formation energy: -1.0312 eV/atom.

POSCAR file:
```
LaMoN3
1.0
-1.500 2.592 5.496
-6.724 2.590 -1.202
-3.275 -5.483 3.547
N Mo La
12 4 4
Direct
0.001 0.374 0.327 N
0.153 0.774 0.999 N
0.858 0.876 0.391 N
0.358 0.391 0.876 N
0.653 0.999 0.774 N
0.142 0.124 0.609 N
0.347 0.001 0.226 N
0.501 0.327 0.374 N
0.847 0.226 0.001 N
0.642 0.609 0.124 N
0.499 0.673 0.626 N
0.999 0.626 0.673 N
0.255 0.201 0.381 Mo
0.745 0.799 0.619 Mo
0.755 0.381 0.201 Mo
0.245 0.619 0.799 Mo
0.750 0.317 0.683 La
0.250 0.092 0.908 La
0.750 0.908 0.092 La
0.250 0.683 0.317 La
```

=====

[3]
MnTl3Mo | GGA-PBEsol | relaxed

For the formation energy, the calculation gives 1.25 eV/atom. As for the space group: Pm-3m (221).

POSCAR file:
```
MnTl3Mo
1.0
5.007 0.000 0.000
0.000 5.007 0.000
0.000 0.000 5.007
Mn Tl Mo
1 3 1
Direct
0.000 0.000 0.000 Mn
0.500 0.000 0.000 Tl
0.000 0.000 0.500 Tl
0.000 0.500 0.000 Tl
0.500 0.500 0.500 Mo
```

=====

[4]
HW3F | GGA-PBEsol | relaxed

As for the space group: Pm-3m (221).

POSCAR file:
```
HW3F
1.0
-3.905 -0.530 0.471
-0.023 -2.539 -3.051
0.708 -3.004 2.495
H W F
1 3 1
Direct
0.000 0.000 0.000 H
0.000 0.000 0.500 W
0.500 0.000 0.000 W
0.000 0.500 0.000 W
0.500 0.500 0.500 F
```

=====

[5]
NaSn2P3O12 | GGA-PBEsol | relaxed

Its distance to the lowest polymorph of the same formula is 0.021 eV per atom. As for the space group: P-1 (2). As for the raw formation energy: -2.0668 eV/atom.

POSCAR file:
```
NaSn2P3O12
1.0
8.495 -0.022 -0.077
4.227 7.376 -0.038
4.128 2.433 7.626
O Sn Na P
24 4 2 6
Direct
0.491 0.674 0.300 O
0.790 0.973 0.399 O
0.509 0.326 0.700 O
0.786 0.120 0.080 O
0.493 0.345 0.385 O
0.894 0.767 0.226 O
0.450 0.027 0.695 O
0.733 0.383 0.765 O
0.106 0.233 0.774 O
0.385 0.470 0.935 O
0.214 0.880 0.920 O
0.188 0.051 0.283 O
0.812 0.949 0.717 O
0.898 0.601 0.755 O
0.147 0.731 0.592 O
0.003 0.306 0.081 O
0.210 0.027 0.601 O
0.507 0.655 0.615 O
0.267 0.617 0.235 O
0.853 0.269 0.408 O
0.550 0.973 0.305 O
0.102 0.399 0.245 O
0.997 0.694 0.919 O
0.615 0.530 0.065 O
0.851 0.356 0.935 Sn
0.346 0.857 0.447 Sn
0.149 0.644 0.065 Sn
0.654 0.143 0.553 Sn
0.822 0.527 0.456 Na
0.178 0.473 0.544 Na
0.528 0.458 0.758 P
0.038 0.252 0.253 P
0.248 0.036 0.749 P
0.752 0.964 0.251 P
0.962 0.748 0.747 P
0.472 0.542 0.242 P
```

=====

[6]
RbAsRuSe2 | GGA-PBEsol | relaxed

As for the space group: P4/mmm (123). As for the raw formation energy: 2.2319 eV/atom.

POSCAR file:
```
RbAsRuSe2
1.0
5.291 0.000 0.000
0.000 5.465 0.000
0.000 0.000 5.465
Se Ru As Rb
2 1 1 1
Direct
0.000 0.000 0.500 Se
0.000 0.500 0.000 Se
0.500 0.500 0.500 Ru
0.500 0.000 0.000 As
0.000 0.000 0.000 Rb
```

=====

[7]
TaZnIn2 | GGA-PBEsol | relaxed

For the formation energy, the calculation gives 0.28 eV/atom. As for the space group: P4/mmm (123).

POSCAR file:
```
TaZnIn2
1.0
3.639 0.000 0.000
0.000 3.639 0.000
0.000 0.000 5.751
Zn In Ta
1 2 1
Direct
0.500 0.500 0.500 Zn
0.000 0.000 0.250 In
0.000 0.000 0.750 In
0.500 0.500 0.000 Ta
```

=====

[8]
Bi3AuO | GGA-PBEsol | relaxed

As for the space group: Pm-3m (221). As for the raw formation energy: -0.0305 eV/atom.

POSCAR file:
```
Bi3AuO
1.0
-1.921 -3.486 2.790
-1.665 -2.259 -3.969
4.143 -2.524 -0.301
Bi Au O
3 1 1
Direct
0.500 0.000 0.000 Bi
0.000 0.500 0.000 Bi
0.000 0.000 0.500 Bi
0.500 0.500 0.500 Au
0.000 0.000 0.000 O
```

=====

Number 1: raw total energy -0.27808 hartree per atom, spin magnetization 0.0 μB per cell. Number 2: raw total energy -0.35169 hartree per atom, spin magnetization 0.0 μB per cell. Number 3: raw total energy -0.17022 hartree per atom, spin magnetization 6.5 μB per cell. Number 4: raw total energy -0.31157 hartree per atom, spin magnetization 0.0 μB per cell. Number 5: raw total energy -0.26028 hartree per atom, spin magnetization 0.0 μB per cell. Number 6: raw total energy -0.09441 hartree per atom, spin magnetization 3.4 μB per cell. Number 7: raw total energy -0.17442 hartree per atom, spin magnetization 0.0 μB per cell. Number 8: raw total energy -0.16304 hartree per atom, spin magnetization 0.0 μB per cell.